(1)
7
Lattice="-2.360 2.011 2.816 0.118 -3.360 2.498 9.952 4.470 2.032" Properties=species:S:1:pos:R:3 comment="Ce4PmSn2 | the Alexandria database | GGA-PBE | relaxed" formation_enthalpy_0k_ev_per_atom=-0.11 final_energy_ev_per_atom=-5.328 magnetic_moment_mub_per_fu=0.01 volume_a3_per_cell=187.6 pbc="T T T"
Pm 0.000 0.000 0.000
Sn 0.239 -0.090 3.380
Sn 7.470 3.210 3.967
Ce 4.474 0.217 3.594
Ce 5.038 1.973 5.928
Ce 2.671 1.148 1.418
Ce 3.235 2.903 3.753

=====

(2)
16
Lattice="4.768 0.000 0.000 0.000 4.768 0.000 0.000 0.000 18.850" Properties=species:S:1:pos:R:3 comment="CePm3Sn12 | the Alexandria database | GGA-PBE | relaxed" formation_enthalpy_0k_ev_per_atom=-0.51 final_energy_ev_per_atom=-4.769 magnetic_moment_mub_per_fu=0.35 volume_a3_per_cell=428.5 pbc="T T T"
Sn 2.384 2.384 14.150
Sn 2.384 2.384 4.700
Ce 0.000 0.000 0.000
Sn 0.000 2.384 2.323
Sn 0.000 2.384 7.052
Pm 0.000 0.000 9.425
Sn 0.000 2.384 16.527
Sn 2.384 0.000 11.798
Sn 2.384 2.384 0.000
Sn 0.000 2.384 11.798
Sn 2.384 2.384 9.425
Sn 2.384 0.000 16.527
Sn 2.384 0.000 7.052
Pm 0.000 0.000 4.648
Pm 0.000 0.000 14.202
Sn 2.384 0.000 2.323